# 1
First-principles (SCAN) data for a crystal of YOsN2O relaxed with PBEsol, as listed in Alexandria.

POSCAR file:
```
YOsN2O
1.0
3.828 0.000 0.000
0.000 3.828 0.000
0.000 0.000 3.995
Y Os N O
1 1 2 1
Direct
0.000 0.000 0.000 Y
0.500 0.500 0.500 Os
0.000 0.500 0.500 N
0.500 0.000 0.500 N
0.500 0.500 0.000 O
```

Properties
**Space-group type**: P4/mmm (123)
**Density**: 9.2 g/cm³
**Total DFT energy (no corrections)**: -25.759 eV/atom
**Formation energy without anion corrections**: -0.85 eV per atom

***

# 2
First-principles (SCAN) data for a crystal of Na2HfP relaxed with PBEsol, as listed in Alexandria.

POSCAR file:
```
Na2HfP
1.0
-1.874 1.874 11.686
1.874 -1.874 11.686
1.874 1.874 -11.686
Na Hf P
4 2 2
Direct
0.108 0.625 0.983 Na
0.375 0.358 0.483 Na
0.642 0.125 0.017 Na
0.875 0.892 0.517 Na
0.250 0.750 0.500 Hf
0.500 0.500 0.000 Hf
0.000 0.000 0.000 P
0.750 0.250 0.500 P
```

Properties
**Space-group type**: I-42d (122)
**Density**: 5.2 g/cm³
**Total DFT energy (no corrections)**: -20.439 eV/atom

***

# 3
First-principles (SCAN) data for a crystal of PmSn3 relaxed with PBEsol, as listed in Alexandria.

POSCAR file:
```
PmSn3
1.0
4.672 0.000 0.000
0.000 4.672 0.000
0.000 0.000 4.672
Pm Sn
1 3
Direct
0.000 0.000 0.000 Pm
0.000 0.500 0.500 Sn
0.500 0.000 0.500 Sn
0.500 0.500 0.000 Sn
```

Properties
**Space-group type**: Pm-3m (221)
**Density**: 8.2 g/cm³
**Total DFT energy (no corrections)**: -38.477 eV/atom

***

# 4
First-principles (SCAN) data for a crystal of SrReAuCl2 relaxed with PBEsol, as listed in Alexandria.

POSCAR file:
```
SrReAuCl2
1.0
4.659 0.000 0.000
0.000 4.659 0.000
0.000 0.000 5.289
Sr Re Au Cl
1 1 1 2
Direct
0.000 0.000 0.000 Sr
0.500 0.500 0.500 Re
0.500 0.500 0.000 Au
0.000 0.500 0.500 Cl
0.500 0.000 0.500 Cl
```

Properties
**Space-group type**: P4/mmm (123)
**Density**: 7.8 g/cm³
**Total DFT energy (no corrections)**: -35.973 eV/atom
**Formation energy without anion corrections**: -0.28 eV per atom

***

# 5
First-principles (SCAN) data for a crystal of Sb2TeOsPt relaxed with PBEsol, as listed in Alexandria.

POSCAR file:
```
Sb2TeOsPt
1.0
4.999 0.000 0.000
0.000 4.999 0.000
0.000 0.000 5.146
Sb Te Os Pt
2 1 1 1
Direct
0.000 0.500 0.000 Sb
0.500 0.000 0.000 Sb
0.000 0.000 0.500 Te
0.500 0.500 0.500 Os
0.000 0.000 0.000 Pt
```

Properties
**Space-group type**: P4/mmm (123)
**Density**: 9.8 g/cm³
**Total DFT energy (no corrections)**: -49.384 eV/atom
**Formation energy without anion corrections**: 1.39 eV per atom

***

# 6
First-principles (SCAN) data for a crystal of ScSbRh2 relaxed with PBEsol, as listed in Alexandria.

POSCAR file:
```
ScSbRh2
1.0
4.233 0.000 0.000
0.000 4.233 0.000
0.000 0.000 3.639
Sc Sb Rh
1 1 2
Direct
0.000 0.000 0.000 Sc
0.500 0.500 0.000 Sb
0.000 0.500 0.500 Rh
0.500 0.000 0.500 Rh
```

Properties
**Space-group type**: P4/mmm (123)
**Density**: 9.5 g/cm³
**Total DFT energy (no corrections)**: -30.621 eV/atom
**Formation energy without anion corrections**: -0.86 eV per atom

***

# 7
First-principles (SCAN) data for a crystal of AlHgW relaxed with PBEsol, as listed in Alexandria.

POSCAR file:
```
AlHgW
1.0
0.000 3.112 3.112
3.112 0.000 3.112
3.112 3.112 0.000
Al Hg W
1 1 1
Direct
0.000 0.000 0.000 Al
0.750 0.750 0.750 Hg
0.500 0.500 0.500 W
```

Properties
**Space-group type**: F-43m (216)
**Density**: 11.3 g/cm³
**ΔE to the lowest computed polymorph**: 0.646 eV/atom
**Total DFT energy (no corrections)**: -47.359 eV/atom

***

# 8
First-principles (SCAN) data for a crystal of ZrTl2 relaxed with PBEsol, as listed in Alexandria.

POSCAR file:
```
ZrTl2
1.0
6.273 0.000 0.000
0.000 4.279 0.000
0.000 0.000 10.220
Zr Tl
4 8
Direct
0.119 0.250 0.103 Zr
0.381 0.750 0.603 Zr
0.619 0.250 0.397 Zr
0.881 0.750 0.897 Zr
0.130 0.250 0.434 Tl
0.145 0.250 0.766 Tl
0.355 0.750 0.266 Tl
0.370 0.750 0.934 Tl
0.630 0.250 0.066 Tl
0.645 0.250 0.734 Tl
0.855 0.750 0.234 Tl
0.870 0.750 0.566 Tl
```

Properties
**Space-group type**: Pnma (62)
**Density**: 12.1 g/cm³
**Total DFT energy (no corrections)**: -58.582 eV/atom

***

# 9
First-principles (SCAN) data for a crystal of KSr2As relaxed with PBEsol, as listed in Alexandria.

POSCAR file:
```
KSr2As
1.0
3.911 -2.257 0.000
3.911 2.257 0.000
-2.550 0.000 11.179
K Sr As
1 2 1
Direct
0.000 0.000 0.000 K
0.213 0.213 0.642 Sr
0.787 0.787 0.358 Sr
0.500 0.500 0.500 As
```

Properties
**Space-group type**: C2/m (12)
**Density**: 2.4 g/cm³
**Total DFT energy (no corrections)**: -19.002 eV/atom

***

# 10
First-principles (SCAN) data for a crystal of Os2RuW relaxed with PBEsol, as listed in Alexandria.

POSCAR file:
```
Os2RuW
1.0
2.718 0.000 0.000
0.000 3.833 0.000
0.000 0.000 5.476
Os Ru W
2 1 1
Direct
0.000 0.000 0.242 Os
0.000 0.000 0.758 Os
0.500 0.500 0.000 Ru
0.500 0.500 0.500 W
```

Properties
**Space-group type**: Pmmm (47)
**Density**: 19.4 g/cm³
**ΔE to the lowest computed polymorph**: 0.105 eV/atom
**Total DFT energy (no corrections)**: -61.983 eV/atom

***

# 11
First-principles (SCAN) data for a crystal of Y2AgSbBr relaxed with PBEsol, as listed in Alexandria.

POSCAR file:
```
Y2AgSbBr
1.0
5.725 0.000 0.000
0.000 5.725 0.000
0.000 0.000 5.026
Y Ag Sb Br
2 1 1 1
Direct
0.000 0.500 0.000 Y
0.500 0.000 0.000 Y
0.000 0.000 0.500 Ag
0.000 0.000 0.000 Sb
0.500 0.500 0.500 Br
```

Properties
**Space-group type**: P4/mmm (123)
**Density**: 4.9 g/cm³
**Total DFT energy (no corrections)**: -28.883 eV/atom
**Formation energy without anion corrections**: -0.13 eV per atom

***

# 12
First-principles (SCAN) data for a crystal of Zn2CrTc relaxed with PBEsol, as listed in Alexandria.

POSCAR file:
```
Zn2CrTc
1.0
3.232 0.000 0.000
0.000 3.232 0.000
0.000 0.000 5.155
Zn Cr Tc
2 1 1
Direct
0.000 0.000 0.249 Zn
0.000 0.000 0.751 Zn
0.500 0.500 0.000 Cr
0.500 0.500 0.500 Tc
```

Properties
**Space-group type**: P4/mmm (123)
**Density**: 8.7 g/cm³
**ΔE to the lowest computed polymorph**: 0.160 eV/atom
**Total DFT energy (no corrections)**: -19.954 eV/atom

***

no.,V (Å³ per cell)
1,58.5
2,164.1
3,102.0
4,114.8
5,128.6
6,65.2
7,60.3
8,274.3
9,197.4
10,57.0
11,164.7
12,53.9